1.
The following is a DFT calculation (GGA-PBE) of a relaxed MnGeSbTe2 crystal.

Properties
As for the energy above the lowest structure with this stoichiometry: 0.000 eV per atom. As for the formation energy without anion corrections: 453 meV/atom. For the density of states at the Fermi level, the calculation gives 4.80 states/eV per cell.

Unit cell a=5.216 b=5.216 c=5.106 alpha=90.00 beta=90.00 gamma=90.00
Space group P4/mmm (No. 123)
Asymmetric unit:
Mn (0.000, 0.000, 0.000) (multiplicity 1)
Ge (0.500, 0.500, 0.500) (multiplicity 1)
Sb (0.000, 0.000, 0.500) (multiplicity 1)
Te (0.000, 0.500, 0.000) (multiplicity 2)

2.
The following is a DFT calculation (GGA-PBE) of a relaxed MnGe2SbW crystal.

Properties
As for the formation energy without anion corrections: 807 meV/atom. For the density of states at the Fermi level, the calculation gives 2.58 states/eV per cell.

Unit cell a=4.914 b=4.914 c=5.283 alpha=90.00 beta=90.00 gamma=90.00
Space group P4/mmm (No. 123)
Asymmetric unit:
Mn (0.000, 0.000, 0.000) (multiplicity 1)
Ge (0.000, 0.500, 0.500) (multiplicity 2)
Sb (0.500, 0.500, 0.000) (multiplicity 1)
W (0.500, 0.500, 0.500) (multiplicity 1)

3.
The following is a DFT calculation (GGA-PBE) of a relaxed ScMn2Ge2 crystal.

Properties
The energy of formation comes out at -0.199 eV per atom. For the density of states at the Fermi level, the calculation gives 7.54 states/eV per cell.

Unit cell a=7.105 b=7.105 c=3.062 alpha=90.00 beta=90.00 gamma=90.00
Space group P4/mbm (No. 127)
Asymmetric unit:
Sc (0.000, 0.000, 0.000) (multiplicity 2)
Mn (0.149, 0.351, 0.500) (multiplicity 4)
Ge (0.142, 0.642, 0.000) (multiplicity 4)

4.
The following is a DFT calculation (GGA-PBE) of a relaxed ScMn3Ge crystal.

Properties
As for the energy above the lowest structure with this stoichiometry: 0.850 eV per atom. The energy of formation comes out at 1.343 eV per atom. For the density of states at the Fermi level, the calculation gives 4.44 states/eV per cell.

Unit cell a=4.653 b=4.653 c=4.653 alpha=90.00 beta=90.00 gamma=90.00
Space group Pm-3m (No. 221)
Asymmetric unit:
Sc (0.000, 0.000, 0.000) (multiplicity 1)
Mn (0.000, 0.000, 0.500) (multiplicity 3)
Ge (0.500, 0.500, 0.500) (multiplicity 1)

5.
The following is a DFT calculation (GGA-PBE) of a relaxed Sc3MnGe crystal.

Properties
As for the energy above the lowest structure with this stoichiometry: 0.000 eV per atom. The energy of formation comes out at 0.145 eV per atom. For the density of states at the Fermi level, the calculation gives 3.07 states/eV per cell.

Unit cell a=4.752 b=4.752 c=4.752 alpha=90.00 beta=90.00 gamma=90.00
Space group Pm-3m (No. 221)
Asymmetric unit:
Sc (0.000, 0.000, 0.500) (multiplicity 3)
Mn (0.000, 0.000, 0.000) (multiplicity 1)
Ge (0.500, 0.500, 0.500) (multiplicity 1)

6.
The following is a DFT calculation (GGA-PBE) of a relaxed ScMn2Ge2 crystal.

Properties
The energy of formation comes out at -0.150 eV per atom. For the density of states at the Fermi level, the calculation gives 7.02 states/eV per cell.

Unit cell a=7.387 b=7.387 c=2.749 alpha=90.00 beta=90.00 gamma=90.00
Space group P4/mbm (No. 127)
Asymmetric unit:
Sc (0.000, 0.000, 0.000) (multiplicity 2)
Mn (0.120, 0.380, 0.000) (multiplicity 4)
Ge (0.174, 0.674, 0.500) (multiplicity 4)

7.
The following is a DFT calculation (GGA-PBE) of a relaxed ScMn2Ge2 crystal.

Properties
The energy of formation comes out at -0.127 eV per atom. For the density of states at the Fermi level, the calculation gives 16.33 states/eV per cell.

Unit cell a=5.188 b=11.839 c=5.454 alpha=90.00 beta=106.67 gamma=90.00
Space group C2/c (No. 15)
Asymmetric unit:
Sc (0.000, 0.097, 0.250) (multiplicity 4)
Mn (0.011, 0.313, 0.006) (multiplicity 8)
Ge (0.000, 0.141, 0.750) (multiplicity 4)
Ge (0.000, 0.498, 0.250) (multiplicity 4)

8.
The following is a DFT calculation (GGA-PBE) of a relaxed ScMnGe crystal.

Properties
The energy of formation comes out at -0.524 eV per atom. For the density of states at the Fermi level, the calculation gives 13.47 states/eV per cell.

Unit cell a=3.831 b=3.831 c=13.618 alpha=90.00 beta=90.00 gamma=90.00
Space group I4/mmm (No. 139)
Asymmetric unit:
Sc (0.000, 0.000, 0.165) (multiplicity 4)
Mn (0.000, 0.500, 0.000) (multiplicity 4)
Ge (0.000, 0.000, 0.379) (multiplicity 4)